PRuO2F | PBE | optimized geometry

Theoretical density in g/cm3: 5.15
Total energy in eV per atom: -5.4294
Size of the total moment in μB/cell: 3.3
V in Å³ per atom: 11.8
Formation energy without anion corrections in kcal/mol of atoms: -3.1
N(E_F) in states/eV per atom: 0.803

a b c (Å): 3.5954 3.5954 4.5630
angles (deg): 90.00 90.00 90.00
Closest atoms and distances in Å follow each position.
Positions (direct):
F  0.0000  0.0000  0.5000  2 P 2.28, 4 Ru 2.54
O  0.5000  0.0000  0.0000  2 P 1.80
O  0.0000  0.5000  0.0000  2 P 1.80
P  0.0000  0.0000  0.0000  4 O 1.80
Ru  0.5000  0.5000  0.5000  4 F 2.54